# CuGeSb2 PBE relaxed
# **Mass density**: 5.8 g/cm³
# **Formation energy (no corrections)**: 0.428 eV per atom
data_CuGeSb2
_space_group_name_H-M_alt 'R -3 m'
_space_group_IT_number 166
_space_group_name_Hall '-R 3 2"'
_cell_length_a 3.8953
_cell_length_b 3.8953
_cell_length_c 24.9743
_cell_angle_alpha 90.00
_cell_angle_beta 90.00
_cell_angle_gamma 120.00
loop_
_atom_site_label
_atom_site_type_symbol
_atom_site_fract_x
_atom_site_fract_y
_atom_site_fract_z
Cu1 Cu 0.0000 0.0000 0.0000
Ge1 Ge 0.0000 0.0000 0.5000
Sb1 Sb 0.0000 0.0000 0.0992